No. 1
Material: MgAu
Method: DFT, GGA-PBE
State: relaxed

Unit cell a=4.8431 b=7.8382 c=7.8382 alpha=142.35 beta=90.00 gamma=90.00
With the nearest neighbours (Å) after each atom.
Element x y z (fractional)
Mg 0.0000 0.0000 0.0000  4 Au 2.79-3.04, 6 Mg 2.92-3.01
Mg 0.0000 0.3630 0.5866  7 Au 2.75-2.99, 1 Mg 2.92
Mg 0.0000 0.5866 0.3630  7 Au 2.75-2.99, 1 Mg 2.92
Mg 0.5000 0.7436 0.9632  7 Au 2.75-3.05, 2 Mg 3.01
Mg 0.5000 0.9632 0.7436  7 Au 2.75-3.05, 2 Mg 3.01
Au 0.0000 0.1580 0.7819  6 Mg 2.75-2.97, 2 Au 3.02
Au 0.0000 0.7819 0.1580  6 Mg 2.75-2.97, 2 Au 3.02
Au 0.5000 0.1520 0.5468  5 Mg 2.81-2.86, 7 Au 2.93-3.09
Au 0.5000 0.3637 0.3637  2 Au 2.93, 10 Mg 2.97-3.05
Au 0.5000 0.5468 0.1520  5 Mg 2.81-2.86, 7 Au 2.93-3.09

Properties
Its symmetry is Amm2 (38). Its total energy is -2.861 eV/atom.


No. 2
Material: SrCo2Ge2
Method: DFT, GGA-PBE
State: relaxed

Unit cell a=6.1205 b=6.1205 c=6.1205 alpha=141.44 beta=141.44 gamma=55.67
With the nearest neighbours (Å) after each atom.
Element x y z (fractional)
Sr 0.0000 0.0000 0.0000  8 Ge 3.23, 8 Co 3.38
Co 0.2500 0.7500 0.5000  4 Ge 2.35
Co 0.7500 0.2500 0.5000  4 Ge 2.35
Ge 0.3605 0.3605 0.0000  4 Co 2.35
Ge 0.6395 0.6395 0.0000  4 Co 2.35

Properties
Its symmetry is I4/mmm (139). Its total energy is -5.455 eV/atom. Its total magnetization is 0.0 Bohr magnetons per cell.


No. 3
Material: Zr2NiN
Method: DFT, GGA-PBE
State: relaxed

Unit cell a=5.5466 b=5.5466 c=13.8199 alpha=102.06 beta=102.06 gamma=59.97
With the nearest neighbours (Å) after each atom.
Element x y z (fractional)
Zr 0.0399 0.8745 0.6137  3 N 2.36-2.40
Zr 0.1255 0.9601 0.8863  3 N 2.36-2.40
Zr 0.1969 0.3623 0.0926  3 N 2.21-2.28
Zr 0.2980 0.4725 0.4074  3 N 2.21-2.28
Zr 0.3623 0.1969 0.5926  3 N 2.21-2.28
Zr 0.4725 0.2980 0.9074  3 N 2.21-2.28
Zr 0.5275 0.7020 0.0926  3 N 2.21-2.28
Zr 0.6377 0.8031 0.4074  3 N 2.21-2.28
Zr 0.7020 0.5275 0.5926  3 N 2.21-2.28
Zr 0.8031 0.6377 0.9074  3 N 2.21-2.28
Zr 0.8745 0.0399 0.1137  3 N 2.36-2.40
Zr 0.9601 0.1255 0.3863  3 N 2.36-2.40
Ni 0.0847 0.3995 0.7497  4 Zr 2.63-2.66, 4 Ni 2.76-2.79
Ni 0.3995 0.0847 0.2497  4 Zr 2.63-2.66, 4 Ni 2.76-2.79
Ni 0.4262 0.5738 0.2500  4 Zr 2.64-2.67, 4 Ni 2.76-2.79
Ni 0.5738 0.4262 0.7500  4 Zr 2.64-2.67, 4 Ni 2.76-2.79
Ni 0.6005 0.9153 0.7503  4 Zr 2.63-2.66, 4 Ni 2.76-2.79
Ni 0.9153 0.6005 0.2503  4 Zr 2.63-2.66, 4 Ni 2.76-2.79
N 0.0000 0.5000 0.5000  6 Zr 2.22-2.40
N 0.1616 0.6766 0.0001  6 Zr 2.21-2.36
N 0.3234 0.8384 0.4999  6 Zr 2.21-2.36
N 0.5000 0.0000 0.0000  6 Zr 2.22-2.40
N 0.6766 0.1616 0.5001  6 Zr 2.21-2.36
N 0.8384 0.3234 0.9999  6 Zr 2.21-2.36

Properties
Its symmetry is C2/c (15). Its total energy is -8.633 eV/atom. Its total magnetization is 0.2 Bohr magnetons per cell.